Here is a geometry-optimized Be2AuO structure from the Alexandria database. Energies are from PBE-GGA.

## Properties
The space group is I-42d (122). The total energy comes out at -0.1837 Ha/atom. The total magnetization comes out at 0.00 μB per formula unit. The density of states at the Fermi level comes out at 4.141 states/eV per cell.

Structure (POSCAR):
```
Be2AuO
1.0
-1.120 -3.871 -3.084
4.936 -1.106 -0.404
1.664 -4.564 0.950
Be Au O
4 2 2
Direct
0.501 0.125 0.250
0.249 0.625 0.250
0.375 0.499 0.750
0.875 0.751 0.750
0.000 0.000 0.000
0.750 0.250 0.500
0.500 0.500 0.000
0.250 0.750 0.500
```

***

Here is a geometry-optimized Be3AuO structure from the Alexandria database. Energies are from PBE-GGA.

## Properties
The space group is Pm-3m (221). The value obtained for the excess energy over the best structure of this formula in the dataset is 0 meV per atom. The total energy comes out at -0.1648 Ha/atom. The total magnetization comes out at 0.00 μB per formula unit. The density of states at the Fermi level comes out at 0.877 states/eV per cell.

Structure (POSCAR):
```
Be3AuO
1.0
-2.890 -1.587 1.560
2.222 -1.924 2.160
-0.117 2.662 2.491
Be Au O
3 1 1
Direct
0.000 0.500 0.000
0.000 0.000 0.500
0.500 0.000 0.000
0.500 0.500 0.500
0.000 0.000 0.000
```

***

What is the formula in the second record? Be3AuO